Version 1
Entry from the Alexandria database: a relaxed structure of Cs5YO4 (GGA-PBE).

The calculated density is 4.6 g cm⁻³.

a = 7.5719 Å, b = 11.7614 Å, c = 13.5822 Å
α = 90.00°, β = 90.00°, γ = 101.04°
Closest atoms and distances in Å follow each position.
Positions (direct):
1 Cs 0.5751 0.3729 0.0670  3 O 2.88-3.02
2 Cs 0.3465 0.1510 0.3245  2 O 2.81-3.06
3 Cs 0.0998 0.5081 0.1651  4 O 3.07-3.25
4 Cs 0.4002 0.4919 0.6651  4 O 3.07-3.25
5 Cs 0.0751 0.3729 0.4330  3 O 2.88-3.02
6 Cs 0.1535 0.8490 0.8245  2 O 2.81-3.06
7 Cs 0.6535 0.8490 0.6755  2 O 2.81-3.06
8 Cs 0.8465 0.1510 0.1755  2 O 2.81-3.06
9 Cs 0.5998 0.5081 0.3349  4 O 3.07-3.25
10 Cs 0.7444 0.0043 0.4265  4 O 2.89-3.12
11 Cs 0.0040 0.2163 0.6946  4 O 3.08-3.26
12 Cs 0.9960 0.7837 0.3054  4 O 3.08-3.26
13 Cs 0.9002 0.4919 0.8349  4 O 3.07-3.25
14 Cs 0.7556 0.9957 0.9265  4 O 2.89-3.12
15 Cs 0.4249 0.6271 0.9330  3 O 2.88-3.02
16 Cs 0.2556 0.9957 0.5735  4 O 2.89-3.12
17 Cs 0.5040 0.2163 0.8054  4 O 3.08-3.26
18 Cs 0.4960 0.7837 0.1946  4 O 3.08-3.26
19 Cs 0.2444 0.0043 0.0735  4 O 2.89-3.12
20 Cs 0.9249 0.6271 0.5670  3 O 2.88-3.02
21 O 0.7390 0.6018 0.1326  1 Y 2.17
22 O 0.8622 0.9046 0.1100  1 Y 2.19
23 O 0.1754 0.7360 0.0441  1 Y 2.16
24 O 0.1378 0.0954 0.8900  1 Y 2.19
25 O 0.6754 0.7360 0.4559  1 Y 2.16
26 O 0.6378 0.0954 0.6100  1 Y 2.19
27 O 0.3246 0.2640 0.5441  1 Y 2.16
28 O 0.8076 0.7433 0.8887  1 Y 2.20
29 O 0.3076 0.7433 0.6113  1 Y 2.20
30 O 0.3622 0.9046 0.3900  1 Y 2.19
31 O 0.6924 0.2567 0.3887  1 Y 2.20
32 O 0.8246 0.2640 0.9559  1 Y 2.16
33 O 0.2610 0.3982 0.8674  1 Y 2.17
34 O 0.2390 0.6018 0.3674  1 Y 2.17
35 O 0.7610 0.3982 0.6326  1 Y 2.17
36 O 0.1924 0.2567 0.1113  1 Y 2.20
37 Y 0.8911 0.7400 0.0433  4 O 2.16-2.20
38 Y 0.1089 0.2600 0.9567  4 O 2.16-2.20
39 Y 0.6089 0.2600 0.5433  4 O 2.16-2.20
40 Y 0.3911 0.7400 0.4567  4 O 2.16-2.20


Version 2
Entry from the Alexandria database: a relaxed structure of Cs5YO4 (GGA-PBE).

The calculated density is 4.5 g cm⁻³.

a = 7.0206 Å, b = 8.5576 Å, c = 9.9869 Å
α = 90.00°, β = 90.00°, γ = 90.00°
Closest atoms and distances in Å follow each position.
Positions (direct):
1 Cs 0.2563 0.7614 0.1867  4 O 2.96-3.28
2 Cs 0.1739 0.0000 0.5000  2 O 2.83
3 Cs 0.7437 0.7386 0.3133  4 O 2.96-3.28
4 Cs 0.2563 0.2386 0.1867  4 O 2.96-3.28
5 Cs 0.2563 0.2386 0.8133  4 O 2.96-3.28
6 Cs 0.7437 0.7386 0.6867  4 O 2.96-3.28
7 Cs 0.7437 0.2614 0.6867  4 O 2.96-3.28
8 Cs 0.8261 0.5000 0.0000  2 O 2.83
9 Cs 0.7437 0.2614 0.3133  4 O 2.96-3.28
10 Cs 0.2563 0.7614 0.8133  4 O 2.96-3.28
11 Y 0.2178 0.5000 0.5000  4 O 2.19-2.20
12 Y 0.7822 0.0000 0.0000  4 O 2.19-2.20
13 O 0.0482 0.5000 0.3149  1 Y 2.20
14 O 0.3829 0.2833 0.5000  1 Y 2.19
15 O 0.9518 0.0000 0.1851  1 Y 2.20
16 O 0.3829 0.7167 0.5000  1 Y 2.19
17 O 0.0482 0.5000 0.6851  1 Y 2.20
18 O 0.9518 0.0000 0.8149  1 Y 2.20
19 O 0.6171 0.2167 0.0000  1 Y 2.19
20 O 0.6171 0.7833 0.0000  1 Y 2.19


Version 3
Entry from the Alexandria database: a relaxed structure of Cs5YO4 (GGA-PBE).

The calculated density is 4.7 g cm⁻³.

a = 3.8024 Å, b = 8.0526 Å, c = 9.8925 Å
α = 101.69°, β = 101.08°, γ = 90.00°
Closest atoms and distances in Å follow each position.
Positions (direct):
1 O 0.3788 0.9406 0.7576  1 Y 2.30
2 O 0.0007 0.1945 0.0014  2 Y 2.46
3 O 0.9993 0.8055 0.9986  2 Y 2.46
4 O 0.6212 0.0594 0.2424  1 Y 2.30
5 Y 0.5000 0.0000 0.0000  6 O 2.30-2.46
6 Cs 0.8522 0.6957 0.7044  3 O 2.71-2.81
7 Cs 0.1494 0.8415 0.2987  3 O 2.72-2.87
8 Cs 0.5000 0.5000 0.0000  4 O 3.11
9 Cs 0.8506 0.1585 0.7013  3 O 2.72-2.87
10 Cs 0.1478 0.3043 0.2956  3 O 2.71-2.81


Which structure is the least stable? The one labeled version 3.


Version 1
Entry from the Alexandria database: a relaxed structure of Cs2YO (GGA-PBE).

The calculated density is 2.7 g cm⁻³.

a = 10.5809 Å, b = 10.5809 Å, c = 10.5809 Å
α = 92.37°, β = 92.37°, γ = 156.54°
Closest atoms and distances in Å follow each position.
Positions (direct):
1 O 0.7500 0.2500 0.5000  2 Y 2.15
2 O 0.5000 0.5000 0.0000  2 Y 2.15
3 Cs 0.1250 0.2981 0.6731  2 O 3.87, 2 Y 4.16, 2 Cs 4.30
4 Cs 0.7019 0.3750 0.8269  2 O 3.87, 2 Y 4.16, 2 Cs 4.30
5 Cs 0.6250 0.4519 0.3269  2 O 3.87, 2 Y 4.16, 2 Cs 4.30
6 Cs 0.5481 0.8750 0.1731  2 O 3.87, 2 Y 4.16, 2 Cs 4.30
7 Y 0.0000 0.0000 0.0000  2 O 2.15
8 Y 0.2500 0.7500 0.5000  2 O 2.15


Version 2
Entry from the Alexandria database: a relaxed structure of Cs2YO (GGA-PBE).

The calculated density is 3.7 g cm⁻³.

a = 6.1475 Å, b = 6.1475 Å, c = 6.1475 Å
α = 60.00°, β = 60.00°, γ = 60.00°
Closest atoms and distances in Å follow each position.
Positions (direct):
1 O 0.0000 0.0000 0.0000  8 Cs 3.76
2 Cs 0.2500 0.2500 0.2500  4 O 3.76, 4 Y 3.76
3 Cs 0.7500 0.7500 0.7500  4 Y 3.76, 4 O 3.76
4 Y 0.5000 0.5000 0.5000  8 Cs 3.76


Which structure is the least stable? The one labeled version 2.


Version 1
Entry from the Alexandria database: a relaxed structure of CsZn3O (GGA-PBE).

The calculated density is 1.5 g cm⁻³.

a = 7.2196 Å, b = 7.2196 Å, c = 7.2196 Å
α = 90.00°, β = 90.00°, γ = 90.00°
Closest atoms and distances in Å follow each position.
Positions (direct):
1 Zn 0.0000 0.5000 0.0000  2 Cs 3.61
2 Zn 0.5000 0.0000 0.0000  2 Cs 3.61
3 Zn 0.0000 0.0000 0.5000  2 Cs 3.61
4 Cs 0.0000 0.0000 0.0000  6 Zn 3.61
5 O 0.5000 0.5000 0.5000  12 Zn 5.11


Version 2
Entry from the Alexandria database: a relaxed structure of CsZn3O (GGA-PBE).

The calculated density is 4.7 g cm⁻³.

a = 4.9598 Å, b = 4.9598 Å, c = 4.9598 Å
α = 90.00°, β = 90.00°, γ = 90.00°
Closest atoms and distances in Å follow each position.
Positions (direct):
1 Zn 0.0000 0.0000 0.5000  2 O 2.48
2 Zn 0.0000 0.5000 0.0000  2 O 2.48
3 Zn 0.5000 0.0000 0.0000  2 O 2.48
4 Cs 0.5000 0.5000 0.5000  12 Zn 3.51
5 O 0.0000 0.0000 0.0000  6 Zn 2.48


Which structure is the least stable? The one labeled version 1.


Version 1
Entry from the Alexandria database: a relaxed structure of CsZr3O (GGA-PBE).

The calculated density is 4.8 g cm⁻³.

a = 5.2531 Å, b = 5.2531 Å, c = 5.2531 Å
α = 90.00°, β = 90.00°, γ = 90.00°
Closest atoms and distances in Å follow each position.
Positions (direct):
1 Zr 0.0000 0.0000 0.5000  2 Cs 2.63
2 Zr 0.0000 0.5000 0.0000  2 Cs 2.63
3 Zr 0.5000 0.0000 0.0000  2 Cs 2.63
4 Cs 0.0000 0.0000 0.0000  6 Zr 2.63
5 O 0.5000 0.5000 0.5000  12 Zr 3.71


Version 2
Entry from the Alexandria database: a relaxed structure of CsZr3O (GGA-PBE).

The calculated density is 6.8 g cm⁻³.

a = 4.7018 Å, b = 4.7018 Å, c = 4.7018 Å
α = 90.00°, β = 90.00°, γ = 90.00°
Closest atoms and distances in Å follow each position.
Positions (direct):
1 Zr 0.0000 0.5000 0.0000  2 O 2.35
2 Zr 0.5000 0.0000 0.0000  2 O 2.35
3 Zr 0.0000 0.0000 0.5000  2 O 2.35
4 O 0.0000 0.0000 0.0000  6 Zr 2.35
5 Cs 0.5000 0.5000 0.5000  12 Zr 3.32


Which structure is the least stable? The one labeled version 1.